DFT (PBE) results for a relaxed CsInGeBr4 crystal.

Computed properties:
- symmetry = P2_1/m (11)
- calculated density (Mg/m³) = 3.753
- formation energy without anion corrections (eV/atom) = -0.9313
- DOS at the Fermi energy (states/eV/f.u.) = 0.00

abc: 8.2393 7.3499 10.2101
angles: 90.00 113.65 90.00
Fractional positions:
Cs: 0.8251 0.7500 0.4074
Cs: 0.1749 0.2500 0.5926
In: 0.6464 0.7500 0.9011
In: 0.3536 0.2500 0.0989
Ge: 0.3250 0.7500 0.3285
Ge: 0.6750 0.2500 0.6715
Br: 0.8973 0.5004 0.7546
Br: 0.1027 0.0004 0.2454
Br: 0.1027 0.4996 0.2454
Br: 0.8973 0.9996 0.7546
Br: 0.4031 0.7500 0.0924
Br: 0.5969 0.2500 0.9076
Br: 0.3203 0.7500 0.6247
Br: 0.6797 0.2500 0.3753


DFT (PBE) results for a relaxed Cs3InGe2Br9 crystal.

Computed properties:
- symmetry = P-3m1 (164)
- calculated density (Mg/m³) = 4.217
- formation energy without anion corrections (eV/atom) = -1.1200
- DOS at the Fermi energy (states/eV/f.u.) = 4.59

abc: 7.9961 7.9961 9.7999
angles: 90.00 90.00 120.00
Fractional positions:
Cs: 0.3333 0.6667 0.6703
Cs: 0.0000 0.0000 0.0000
Cs: 0.6667 0.3333 0.3297
In: 0.0000 0.0000 0.5000
Ge: 0.3333 0.6667 0.1644
Ge: 0.6667 0.3333 0.8356
Br: 0.8301 0.1699 0.6721
Br: 0.8301 0.6603 0.6721
Br: 0.3397 0.1699 0.6721
Br: 0.6603 0.8301 0.3279
Br: 0.1699 0.3397 0.3279
Br: 0.1699 0.8301 0.3279
Br: 0.5000 0.0000 0.0000
Br: 0.0000 0.5000 0.0000
Br: 0.5000 0.5000 0.0000


DFT (PBE) results for a relaxed CsInGe2Br8 crystal.

Computed properties:
- symmetry = P-1 (2)
- calculated density (Mg/m³) = 3.507
- formation energy without anion corrections (eV/atom) = -0.8198
- DOS at the Fermi energy (states/eV/f.u.) = 0.00

abc: 6.8501 7.7607 9.9749
angles: 73.41 78.10 76.62
Fractional positions:
Cs: 0.0000 0.0000 0.5000
In: 0.0000 0.0000 0.0000
Ge: 0.4568 0.4120 0.7352
Ge: 0.5432 0.5880 0.2648
Br: 0.1645 0.7229 0.2350
Br: 0.7095 0.7816 0.0314
Br: 0.7772 0.1819 0.1740
Br: 0.8355 0.2771 0.7650
Br: 0.2905 0.2184 0.9686
Br: 0.2228 0.8181 0.8260
Br: 0.5604 0.7557 0.4404
Br: 0.4396 0.2443 0.5596


DFT (PBE) results for a relaxed Cs2GeIrBr6 crystal.

Computed properties:
- symmetry = I4/mmm (139)
- calculated density (Mg/m³) = 5.253
- formation energy without anion corrections (eV/atom) = -0.8244
- DOS at the Fermi energy (states/eV/f.u.) = 4.55

abc: 7.6632 7.6632 7.6761
angles: 60.06 60.06 90.00
Fractional positions:
Cs: 0.7500 0.2500 0.5000
Cs: 0.2500 0.7500 0.5000
Ge: 0.5000 0.5000 0.0000
Ir: 0.0000 0.0000 0.0000
Br: 0.2381 0.2381 0.5237
Br: 0.7619 0.7619 0.4763
Br: 0.2386 0.2386 0.0000
Br: 0.7614 0.7614 0.0000
Br: 0.7614 0.2386 0.0000
Br: 0.2386 0.7614 0.0000